The following is a PBE-GGA calculation of an optimized crystal structure of TcBNO, from OQMD via LeMat-Bulk.

a b c (Å): 2.6265 5.6363 4.6129
angles (deg): 90.00 90.00 90.00
Space group Pmc2_1 (No. 26)
Asymmetric unit:
Tc 0.0000 0.0990 0.0000 [2 per cell]
B 0.5000 0.3750 0.5018 [2 per cell]
N 0.0000 0.2549 0.4217 [2 per cell]
O 0.5000 0.3862 0.8555 [2 per cell]

The following is a PBE-GGA calculation of an optimized crystal structure of SmZrSc, from OQMD via LeMat-Bulk.

a b c (Å): 7.1873 7.1873 7.1873
angles (deg): 90.00 90.00 90.00
Space group F-43m (No. 216)
Asymmetric unit:
Sm 0.0000 0.0000 0.0000 [4 per cell]
Zr 0.2500 0.2500 0.7500 [4 per cell]
Sc 0.0000 0.0000 0.5000 [4 per cell]

| no. | energy (eV per atom) | polymorph energy (0 for the lowest one) (eV per atom) |
| --- | --- | --- |
| 1 | -8.38 | 0.1188 |
| 2 | -5.71 | 0.0000 |